1.
# CrAuF3 (GGA+U, relaxed)
# Total DFT energy (no corrections), eV/atom: -4.85
data_CrAuF3
_chemical_formula_sum 'Cr1 Au1 F3'
_symmetry_space_group_name_H-M 'P m -3 m'
_symmetry_Int_Tables_number 221
_symmetry_space_group_name_Hall '-P 4 2 3'
_cell_length_a 4.107
_cell_length_b 4.107
_cell_length_c 4.107
_cell_angle_alpha 90.00
_cell_angle_beta 90.00
_cell_angle_gamma 90.00
loop_
_atom_site_label
_atom_site_fract_x
_atom_site_fract_y
_atom_site_fract_z
Cr1 0.000 0.000 0.000
Au1 0.500 0.500 0.500
F1 0.000 0.000 0.500

2.
# CrAuF3 (GGA+U, relaxed)
# Total DFT energy (no corrections), eV/atom: -4.09
data_CrAuF3
_chemical_formula_sum 'Cr1 Au1 F3'
_symmetry_space_group_name_H-M 'P m -3 m'
_symmetry_Int_Tables_number 221
_symmetry_space_group_name_Hall '-P 4 2 3'
_cell_length_a 4.437
_cell_length_b 4.437
_cell_length_c 4.437
_cell_angle_alpha 90.00
_cell_angle_beta 90.00
_cell_angle_gamma 90.00
loop_
_atom_site_label
_atom_site_fract_x
_atom_site_fract_y
_atom_site_fract_z
Cr1 0.000 0.000 0.000
Au1 0.500 0.500 0.500
F1 0.000 0.500 0.500

3.
# CrFeAuF6 (GGA+U, relaxed)
# Total DFT energy (no corrections), eV/atom: -5.12
data_CrFeAuF6
_chemical_formula_sum 'Cr2 Fe2 Au2 F12'
_symmetry_space_group_name_H-M 'P -3 1 c'
_symmetry_Int_Tables_number 163
_symmetry_space_group_name_Hall '-P 3 2c'
_cell_length_a 5.4872
_cell_length_b 5.4872
_cell_length_c 10.3951
_cell_angle_alpha 90.00
_cell_angle_beta 90.00
_cell_angle_gamma 120.00
loop_
_atom_site_label
_atom_site_fract_x
_atom_site_fract_y
_atom_site_fract_z
Cr1 0.3333 0.6667 0.2500
Fe1 0.3333 0.6667 0.7500
Au1 0.0000 0.0000 0.0000
F1 0.0209 0.3798 0.1485

4.
# CrHgAuF2 (GGA+U, relaxed)
# Total DFT energy (no corrections), eV/atom: -4.37
data_CrHgAuF2
_chemical_formula_sum 'Cr1 Hg1 Au1 F2'
_symmetry_space_group_name_H-M 'P 4/m m m'
_symmetry_Int_Tables_number 123
_symmetry_space_group_name_Hall '-P 4 2'
_cell_length_a 3.958
_cell_length_b 3.958
_cell_length_c 6.190
_cell_angle_alpha 90.00
_cell_angle_beta 90.00
_cell_angle_gamma 90.00
loop_
_atom_site_label
_atom_site_fract_x
_atom_site_fract_y
_atom_site_fract_z
Cr1 0.000 0.000 0.000
Hg1 0.500 0.500 0.500
Au1 0.000 0.000 0.500
F1 0.000 0.500 0.000

5.
# CrAuIF2 (GGA+U, relaxed)
# Total DFT energy (no corrections), eV/atom: -4.63
data_CrAuIF2
_chemical_formula_sum 'Cr1 Au1 I1 F2'
_symmetry_space_group_name_H-M 'P 4/m m m'
_symmetry_Int_Tables_number 123
_symmetry_space_group_name_Hall '-P 4 2'
_cell_length_a 4.013
_cell_length_b 4.013
_cell_length_c 6.831
_cell_angle_alpha 90.00
_cell_angle_beta 90.00
_cell_angle_gamma 90.00
loop_
_atom_site_label
_atom_site_fract_x
_atom_site_fract_y
_atom_site_fract_z
Cr1 0.000 0.000 0.000
Au1 0.500 0.500 0.500
I1 0.000 0.000 0.500
F1 0.000 0.500 0.000

6.
# K2CrAuF6 (GGA+U, relaxed)
# Total DFT energy (no corrections), eV/atom: -4.71
data_K2CrAuF6
_chemical_formula_sum 'K8 Cr4 Au4 F24'
_symmetry_space_group_name_H-M 'F m -3 m'
_symmetry_Int_Tables_number 225
_symmetry_space_group_name_Hall '-F 4 2 3'
_cell_length_a 8.776
_cell_length_b 8.776
_cell_length_c 8.776
_cell_angle_alpha 90.00
_cell_angle_beta 90.00
_cell_angle_gamma 90.00
loop_
_atom_site_label
_atom_site_fract_x
_atom_site_fract_y
_atom_site_fract_z
K1 0.250 0.250 0.250
Cr1 0.000 0.000 0.000
Au1 0.000 0.000 0.500
F1 0.000 0.000 0.222

7.
# MnCrAu2F (GGA+U, relaxed)
# Total DFT energy (no corrections), eV/atom: -4.95
data_MnCrAu2F
_chemical_formula_sum 'Mn1 Cr1 Au2 F1'
_symmetry_space_group_name_H-M 'P 4/m m m'
_symmetry_Int_Tables_number 123
_symmetry_space_group_name_Hall '-P 4 2'
_cell_length_a 5.237
_cell_length_b 5.237
_cell_length_c 3.847
_cell_angle_alpha 90.00
_cell_angle_beta 90.00
_cell_angle_gamma 90.00
loop_
_atom_site_label
_atom_site_fract_x
_atom_site_fract_y
_atom_site_fract_z
Mn1 0.000 0.000 0.000
Cr1 0.500 0.500 0.500
Au1 0.000 0.500 0.000
F1 0.000 0.000 0.500

8.
# Mn2CrAuF (GGA+U, relaxed)
# Total DFT energy (no corrections), eV/atom: -4.92
data_Mn2CrAuF
_chemical_formula_sum 'Mn2 Cr1 Au1 F1'
_symmetry_space_group_name_H-M 'P 4/m m m'
_symmetry_Int_Tables_number 123
_symmetry_space_group_name_Hall '-P 4 2'
_cell_length_a 5.011
_cell_length_b 5.011
_cell_length_c 4.878
_cell_angle_alpha 90.00
_cell_angle_beta 90.00
_cell_angle_gamma 90.00
loop_
_atom_site_label
_atom_site_fract_x
_atom_site_fract_y
_atom_site_fract_z
Mn1 0.000 0.500 0.000
Cr1 0.000 0.000 0.000
Au1 0.000 0.000 0.500
F1 0.500 0.500 0.500

| no. | volume (Å³ per cell) |
| --- | --- |
| 1 | 69.3 |
| 2 | 87.4 |
| 3 | 271.1 |
| 4 | 97.0 |
| 5 | 110.0 |
| 6 | 676.0 |
| 7 | 105.5 |
| 8 | 122.5 |